(1)
Below is crystalline BaPm3C at its relaxed geometry, with properties calculated at the PBE level.

The structure in POSCAR format:
```
BaPm3C
1.0
5.319 0.000 0.000
0.000 5.319 0.000
0.000 0.000 5.319
Pm C Ba
3 1 1
Direct
0.500 0.000 0.000 Pm
0.000 0.000 0.500 Pm
0.000 0.500 0.000 Pm
0.000 0.000 0.000 C
0.500 0.500 0.500 Ba
```

Energy, eV/atom: -4.894
DOS(E_F), states/eV per atom: 1.1348
Spin magnetization, μB per formula unit: 0.00
Calculated formation energy, eV/atom: 0.1856
Space group: No. 221

(2)
Below is crystalline BaPt3C at its relaxed geometry, with properties calculated at the PBE level.

The structure in POSCAR format:
```
BaPt3C
1.0
-1.269 4.089 -3.376
-5.283 -1.271 0.447
-0.451 3.375 4.258
Pt Ba C
3 1 1
Direct
0.000 0.000 0.500 Pt
0.000 0.500 0.000 Pt
0.500 0.000 0.000 Pt
0.000 0.000 0.000 Ba
0.500 0.500 0.500 C
```

Energy, eV/atom: -2.856
DOS(E_F), states/eV per atom: 0.8485
Spin magnetization, μB per formula unit: 2.04
Calculated formation energy, eV/atom: 2.9979
Relative energy among the computed polymorphs, meV per atom: 2812
Space group: No. 221